Below is a PBEsol-optimized structure of Tl3Re, with properties calculated at the SCAN level.

Geometry as CIF:
```
data_Tl3Re
_cell_length_a 3.019
_cell_length_b 5.368
_cell_length_c 5.320
_cell_angle_alpha 90.00
_cell_angle_beta 90.00
_cell_angle_gamma 90.00
_symmetry_space_group_name_H-M 'P 1'
_symmetry_Int_Tables_number 1
_symmetry_space_group_name_Hall 'P 1'
loop_
_atom_site_label
_atom_site_fract_x
_atom_site_fract_y
_atom_site_fract_z
Tl1 0.500 0.000 0.518
Tl2 0.500 0.500 0.821
Tl3 0.000 0.500 0.304
Re1 0.000 0.000 0.025
```

Output
Its formation energy is 1.082 eV/atom. The energy above the most stable polymorph in this dataset is 0.4067 eV per atom. The calculation puts the density of states at the Fermi level at 2.26 states/eV/f.u. The crystal system is orthorhombic. The space-group type is Pmm2.

=====

Below is a PBEsol-optimized structure of YSc2Rh, with properties calculated at the SCAN level.

Geometry as CIF:
```
data_YSc2Rh
_cell_length_a 3.457
_cell_length_b 4.936
_cell_length_c 5.836
_cell_angle_alpha 115.02
_cell_angle_beta 107.23
_cell_angle_gamma 90.00
_symmetry_space_group_name_H-M 'P 1'
_symmetry_Int_Tables_number 1
_symmetry_space_group_name_Hall 'P 1'
loop_
_atom_site_label
_atom_site_fract_x
_atom_site_fract_y
_atom_site_fract_z
Sc1 0.049 0.049 0.099
Sc2 0.250 0.750 0.501
Y1 0.458 0.458 0.916
Rh1 0.742 0.242 0.485
```

Output
Its formation energy is -0.524 eV/atom. The energy above the most stable polymorph in this dataset is 0.0369 eV per atom. The calculation puts the density of states at the Fermi level at 3.44 states/eV/f.u. The crystal system is orthorhombic. The space-group type is Imm2.

=====

Below is a PBEsol-optimized structure of ZrCr3Rh, with properties calculated at the SCAN level.

Geometry as CIF:
```
data_ZrCr3Rh
_cell_length_a 4.465
_cell_length_b 4.465
_cell_length_c 4.465
_cell_angle_alpha 90.00
_cell_angle_beta 90.00
_cell_angle_gamma 90.00
_symmetry_space_group_name_H-M 'P 1'
_symmetry_Int_Tables_number 1
_symmetry_space_group_name_Hall 'P 1'
loop_
_atom_site_label
_atom_site_fract_x
_atom_site_fract_y
_atom_site_fract_z
Cr1 0.000 0.500 0.000
Cr2 0.500 0.000 0.000
Cr3 0.000 0.000 0.500
Rh1 0.500 0.500 0.500
Zr1 0.000 0.000 0.000
```

Output
Its formation energy is 1.827 eV/atom. The calculation puts the density of states at the Fermi level at 5.66 states/eV/f.u. The crystal system is cubic. The space-group type is Pm-3m.

=====

Below is a PBEsol-optimized structure of Rb2CdH, with properties calculated at the SCAN level.

Geometry as CIF:
```
data_Rb2CdH
_cell_length_a 5.872
_cell_length_b 5.872
_cell_length_c 5.872
_cell_angle_alpha 60.00
_cell_angle_beta 60.00
_cell_angle_gamma 60.00
_symmetry_space_group_name_H-M 'P 1'
_symmetry_Int_Tables_number 1
_symmetry_space_group_name_Hall 'P 1'
loop_
_atom_site_label
_atom_site_fract_x
_atom_site_fract_y
_atom_site_fract_z
Rb1 0.250 0.250 0.250
Rb2 0.750 0.750 0.750
Cd1 0.500 0.500 0.500
H1 0.000 0.000 0.000
```

Output
The calculation puts the density of states at the Fermi level at 1.79 states/eV/f.u. The crystal system is cubic. The space-group type is Fm-3m.

=====

Below is a PBEsol-optimized structure of Zr2TaTc, with properties calculated at the SCAN level.

Geometry as CIF:
```
data_Zr2TaTc
_cell_length_a 3.250
_cell_length_b 4.796
_cell_length_c 5.560
_cell_angle_alpha 115.55
_cell_angle_beta 106.99
_cell_angle_gamma 90.00
_symmetry_space_group_name_H-M 'P 1'
_symmetry_Int_Tables_number 1
_symmetry_space_group_name_Hall 'P 1'
loop_
_atom_site_label
_atom_site_fract_x
_atom_site_fract_y
_atom_site_fract_z
Zr1 0.752 0.252 0.504
Zr2 0.981 0.981 0.961
Ta1 0.525 0.525 0.051
Tc1 0.242 0.742 0.485
```

Output
Its formation energy is -0.228 eV/atom. The energy above the most stable polymorph in this dataset is 0.0048 eV per atom. The calculation puts the density of states at the Fermi level at 3.86 states/eV/f.u. The crystal system is orthorhombic. The space-group type is Imm2.

=====

Below is a PBEsol-optimized structure of Ba3CrCl, with properties calculated at the SCAN level.

Geometry as CIF:
```
data_Ba3CrCl
_cell_length_a 5.964
_cell_length_b 5.964
_cell_length_c 5.964
_cell_angle_alpha 90.00
_cell_angle_beta 90.00
_cell_angle_gamma 90.00
_symmetry_space_group_name_H-M 'P 1'
_symmetry_Int_Tables_number 1
_symmetry_space_group_name_Hall 'P 1'
loop_
_atom_site_label
_atom_site_fract_x
_atom_site_fract_y
_atom_site_fract_z
Cr1 0.500 0.500 0.500
Ba1 0.000 0.000 0.500
Ba2 0.000 0.500 0.000
Ba3 0.500 0.000 0.000
Cl1 0.000 0.000 0.000
```

Output
The formation energy without anion corrections comes out at -0.418 eV/atom. The calculation puts the density of states at the Fermi level at 6.22 states/eV/f.u. The crystal system is cubic. The space-group type is Pm-3m.

=====

Below is a PBEsol-optimized structure of CsSICl2, with properties calculated at the SCAN level.

Geometry as CIF:
```
data_CsSICl2
_cell_length_a 6.554
_cell_length_b 5.945
_cell_length_c 5.945
_cell_angle_alpha 90.00
_cell_angle_beta 90.00
_cell_angle_gamma 90.00
_symmetry_space_group_name_H-M 'P 1'
_symmetry_Int_Tables_number 1
_symmetry_space_group_name_Hall 'P 1'
loop_
_atom_site_label
_atom_site_fract_x
_atom_site_fract_y
_atom_site_fract_z
S1 0.500 0.000 0.000
Cl1 0.000 0.500 0.000
Cl2 0.000 0.000 0.500
Cs1 0.000 0.000 0.000
I1 0.500 0.500 0.500
```

Output
The formation energy without anion corrections comes out at 0.244 eV/atom. The energy above the most stable polymorph in this dataset is 0.8701 eV per atom. The calculation puts the density of states at the Fermi level at 1.70 states/eV/f.u. The crystal system is tetragonal. The space-group type is P4/mmm.

=====

Below is a PBEsol-optimized structure of Sr2GeClO, with properties calculated at the SCAN level.

Geometry as CIF:
```
data_Sr2GeClO
_cell_length_a 4.139
_cell_length_b 5.822
_cell_length_c 5.822
_cell_angle_alpha 90.00
_cell_angle_beta 90.00
_cell_angle_gamma 90.00
_symmetry_space_group_name_H-M 'P 1'
_symmetry_Int_Tables_number 1
_symmetry_space_group_name_Hall 'P 1'
loop_
_atom_site_label
_atom_site_fract_x
_atom_site_fract_y
_atom_site_fract_z
Cl1 0.500 0.500 0.500
Sr1 0.000 0.500 0.000
Sr2 0.000 0.000 0.500
Ge1 0.000 0.000 0.000
O1 0.500 0.000 0.000
```

Output
The formation energy without anion corrections comes out at -0.950 eV/atom. The calculation puts the density of states at the Fermi level at 2.83 states/eV/f.u. The crystal system is tetragonal. The space-group type is P4/mmm.

=====

| no. | calculated total energy (eV/atom) |
| --- | --- |
| 1 | -70.96 |
| 2 | -23.05 |
| 3 | -22.10 |
| 4 | -18.66 |
| 5 | -40.99 |
| 6 | -29.42 |
| 7 | -19.78 |
| 8 | -16.52 |